DFT (PBE+U) results for an optimized crystal structure of CsVSnF6.

a = 5.716 Å, b = 6.007 Å, c = 5.530 Å
α = 90.09°, β = 85.44°, γ = 63.52°
Site moments in Bohr magnetons follow the coordinates.
Positions (direct):
1 F 0.544 0.992 0.623  0.00
2 F 0.065 0.242 0.394  0.00
3 F 0.557 0.298 0.245  -0.01
4 F 0.088 0.667 0.429  -0.01
5 F 0.109 0.418 0.842  0.00
6 F 0.560 0.490 0.670  0.00
7 Cs 0.025 0.962 0.908  0.00
8 Sn 0.721 0.596 0.345  0.00
9 V 0.329 0.335 0.544  1.91

## Properties
total energy = -5.298 eV per atom
total moment = 2.00 μB/cell
symmetry = P1 (1)